VASP calculation (PBE) on a relaxed PmPr6Nd2Ho crystal.

a = 9.337 Å, b = 15.499 Å, c = 9.949 Å
α = 90.00°, β = 98.55°, γ = 90.00°
Space group C2/c (No. 15)
Asymmetric unit:
1 Pm 0.000 0.020 0.250 x4
2 Pr 0.065 0.184 0.946 x8
3 Pr 0.100 0.395 0.119 x8
4 Pr 0.209 0.221 0.311 x8
5 Nd 0.246 0.049 0.543 x8
6 Ho 0.000 0.409 0.750 x4

The size of the total moment comes out at 0.0 μB per formula unit. The calculation puts the energy relative to the elements at 110 meV/atom.